Entry 1:
Below is crystalline Li3NiPCO7 at its relaxed geometry, with properties calculated at the PBE with a Hubbard U level.

a b c (Å): 4.9754 6.4090 8.3972
angles (deg): 90.00 95.64 90.00
Closest atoms and distances in Å follow each position.
Fractional coordinates of all 26 atoms:
Li 0.2084 0.2500 0.1041  4 O 1.92-2.11
Li 0.2652 0.5153 0.7257  5 O 2.13-2.21
Li 0.2652 0.9847 0.7257  5 O 2.13-2.21
Li 0.7348 0.0153 0.2743  5 O 2.13-2.21
Li 0.7348 0.4847 0.2743  5 O 2.13-2.21
Li 0.7916 0.7500 0.8959  4 O 1.92-2.11
Ni 0.2088 0.7500 0.3324  6 O 2.02-2.23
Ni 0.7912 0.2500 0.6676  6 O 2.02-2.23
P 0.2695 0.2500 0.4131  4 O 1.54-1.56
P 0.7305 0.7500 0.5869  4 O 1.54-1.56
C 0.3182 0.7500 0.0421  3 O 1.29-1.31
C 0.6818 0.2500 0.9579  3 O 1.29-1.31
O 0.0682 0.7500 0.0722  1 C 1.29
O 0.1623 0.2500 0.5788  1 P 1.54
O 0.1654 0.0622 0.3067  1 P 1.56
O 0.1654 0.4378 0.3067  1 P 1.56
O 0.3880 0.7500 0.8975  1 C 1.29
O 0.4149 0.7500 0.5629  1 P 1.56
O 0.4982 0.2500 0.8351  1 C 1.31
O 0.5018 0.7500 0.1649  1 C 1.31
O 0.5851 0.2500 0.4371  1 P 1.56
O 0.6120 0.2500 0.1025  1 C 1.29
O 0.8346 0.5622 0.6933  1 P 1.56
O 0.8346 0.9378 0.6933  1 P 1.56
O 0.8377 0.7500 0.4212  1 P 1.54
O 0.9318 0.2500 0.9278  1 C 1.29

Computed properties:
**Density**: 2.923 g/cm3
**SG**: P2_1/m (11)
**Total DFT energy (no corrections)**: -166.0 eV/cell
**Crystal system**: monoclinic

Entry 2:
Below is crystalline CaMoN2F at its relaxed geometry, with properties calculated at the PBE with a Hubbard U level.

a b c (Å): 4.0345 4.0345 4.1333
angles (deg): 90.00 90.00 90.00
Closest atoms and distances in Å follow each position.
Fractional coordinates of all 5 atoms:
Ca 0.0000 0.0000 0.0000  4 F 2.85, 8 N 2.89
Mo 0.5000 0.5000 0.5000  4 N 2.02, 2 F 2.07
N 0.0000 0.5000 0.5000  2 Mo 2.02
N 0.5000 0.0000 0.5000  2 Mo 2.02
F 0.5000 0.5000 0.0000  2 Mo 2.07

Computed properties:
**Density**: 4.517 g/cm3
**SG**: P4/mmm (123)
**Total DFT energy (no corrections)**: -31.8 eV/cell
**Crystal system**: tetragonal